The following is a PBE calculation of a geometry-optimized YHoGaGe structure, from Alexandria.

**Fermi-level density of states**: 3.30 states/eV/f.u.
**Calculated formation energy**: -3.2 eV/f.u.
**Final energy**: -21.91 eV/cell
**Magnetic moment**: 0.0 μB/f.u.

Cell: 4.3159 3.9991 5.8023 Å, 90.00 111.83 90.00°
Fractional coordinates of all 4 atoms:
Y 0.8598 0.5000 0.7197
Ho 0.1394 0.0000 0.2788
Ge 0.4207 0.0000 0.8414
Ga 0.5801 0.5000 0.1601

=====

The following is a PBE calculation of a geometry-optimized Pm2NbNi3As4 structure, from Alexandria.

**Fermi-level density of states**: 5.50 states/eV/f.u.
**Calculated formation energy**: -7.6 eV/f.u.
**Final energy**: -63.10 eV/cell
**Magnetic moment**: 0.0 μB/f.u.

Cell: 4.2017 4.2017 10.0739 Å, 90.00 90.00 90.00°
Fractional coordinates of all 10 atoms:
As 0.5000 0.5000 0.0000
As 0.0000 0.0000 0.0000
As 0.0000 0.5000 0.3515
As 0.5000 0.0000 0.6485
Pm 0.0000 0.5000 0.7703
Pm 0.5000 0.0000 0.2297
Nb 0.5000 0.5000 0.5000
Ni 0.0000 0.0000 0.5000
Ni 0.5000 0.0000 0.8857
Ni 0.0000 0.5000 0.1143

=====

The following is a PBE calculation of a geometry-optimized Tc2Ni structure, from Alexandria.

**Fermi-level density of states**: 3.26 states/eV/f.u.
**Calculated formation energy**: 0.1 eV/f.u.
**Final energy**: -105.80 eV/cell
**Magnetic moment**: 0.0 μB/f.u.

Cell: 5.3097 3.7771 8.0116 Å, 90.00 90.00 90.00°
Fractional coordinates of all 12 atoms:
Ni 0.1215 0.2500 0.9172
Ni 0.6215 0.2500 0.5828
Ni 0.8785 0.7500 0.0828
Ni 0.3785 0.7500 0.4172
Tc 0.3756 0.7500 0.7541
Tc 0.1259 0.2500 0.5828
Tc 0.8741 0.7500 0.4172
Tc 0.3741 0.7500 0.0828
Tc 0.6259 0.2500 0.9172
Tc 0.6244 0.2500 0.2459
Tc 0.8756 0.7500 0.7459
Tc 0.1244 0.2500 0.2541

=====

The following is a PBE calculation of a geometry-optimized PtRhPb structure, from Alexandria.

**Fermi-level density of states**: 3.61 states/eV/f.u.
**Calculated formation energy**: 0.5 eV/f.u.
**Final energy**: -16.65 eV/cell
**Magnetic moment**: 0.0 μB/f.u.

Cell: 4.9905 4.9905 4.9905 Å, 143.87 131.73 61.75°
Fractional coordinates of all 3 atoms:
Rh 0.6701 0.6701 0.0000
Pt 0.3287 0.3287 0.0000
Pb 0.0012 0.0012 0.0000

=====

The following is a PBE calculation of a geometry-optimized PmGa4Ni2Os structure, from Alexandria.

**Fermi-level density of states**: 4.33 states/eV/f.u.
**Calculated formation energy**: -2.8 eV/f.u.
**Final energy**: -42.48 eV/cell
**Magnetic moment**: 0.0 μB/f.u.

Cell: 4.1365 4.1365 9.2563 Å, 77.09 77.09 60.00°
Fractional coordinates of all 8 atoms:
Ga 0.1304 0.1304 0.6087
Ga 0.4032 0.4032 0.7905
Ga 0.5968 0.5968 0.2095
Ga 0.8696 0.8696 0.3913
Ni 0.2309 0.2309 0.3073
Ni 0.7691 0.7691 0.6927
Pm 0.0000 0.0000 0.0000
Os 0.5000 0.5000 0.5000

=====

The following is a PBE calculation of a geometry-optimized SrBIr2Rh structure, from Alexandria.

**Fermi-level density of states**: 2.72 states/eV/f.u.
**Calculated formation energy**: -0.9 eV/f.u.
**Final energy**: -34.34 eV/cell
**Magnetic moment**: 0.0 μB/f.u.

Cell: 4.2648 4.2648 4.3457 Å, 90.00 90.00 90.00°
Fractional coordinates of all 5 atoms:
Ir 0.5000 0.0000 0.0000
Ir 0.0000 0.5000 0.0000
Rh 0.0000 0.0000 0.5000
B 0.0000 0.0000 0.0000
Sr 0.5000 0.5000 0.5000

=====

The following is a PBE calculation of a geometry-optimized Sr2Li3Mg12In structure, from Alexandria.

**Fermi-level density of states**: 7.64 states/eV/f.u.
**Calculated formation energy**: 2.0 eV/f.u.
**Final energy**: -29.00 eV/cell
**Magnetic moment**: 0.0 μB/f.u.

Cell: 7.9331 7.9331 7.9331 Å, 84.44 84.44 84.44°
Fractional coordinates of all 18 atoms:
Mg 0.6130 0.6130 0.0781
Mg 0.1898 0.7179 0.1898
Mg 0.0781 0.6130 0.6130
Mg 0.8102 0.8102 0.2821
Mg 0.2821 0.8102 0.8102
Mg 0.3870 0.9219 0.3870
Mg 0.3870 0.3870 0.9219
Mg 0.1898 0.1898 0.7179
Mg 0.7179 0.1898 0.1898
Mg 0.8102 0.2821 0.8102
Mg 0.9219 0.3870 0.3870
Mg 0.6130 0.0781 0.6130
Li 0.0000 0.0000 0.5000
Li 0.0000 0.5000 0.0000
Li 0.5000 0.0000 0.0000
Sr 0.3687 0.3687 0.3687
Sr 0.6313 0.6313 0.6313
In 0.0000 0.0000 0.0000

=====

The following is a PBE calculation of a geometry-optimized PuCdInPb structure, from Alexandria.

**Fermi-level density of states**: 12.49 states/eV/f.u.
**Calculated formation energy**: -0.6 eV/f.u.
**Final energy**: -22.30 eV/cell
**Magnetic moment**: 5.7 μB/f.u.

Cell: 4.6991 4.5528 4.8911 Å, 90.00 90.00 90.00°
Fractional coordinates of all 4 atoms:
Cd 0.0000 0.0000 0.0000
Pb 0.0000 0.5000 0.5000
Pu 0.5000 0.0000 0.5000
In 0.5000 0.5000 0.0000

=====

The following is a PBE calculation of a geometry-optimized Dy4Pd7Au structure, from Alexandria.

**Fermi-level density of states**: 6.03 states/eV/f.u.
**Calculated formation energy**: -9.8 eV/f.u.
**Final energy**: -67.88 eV/cell
**Magnetic moment**: 0.0 μB/f.u.

Cell: 5.5950 8.1956 5.4740 Å, 102.34 76.40 92.08°
Fractional coordinates of all 12 atoms:
Dy 0.2541 0.3534 0.1119
Dy 0.3463 0.7960 0.5474
Dy 0.6537 0.2040 0.4526
Dy 0.7459 0.6466 0.8881
Pd 0.1940 0.7150 0.0872
Pd 0.1617 0.1261 0.4813
Pd 0.7475 0.5404 0.3468
Pd 0.5000 0.0000 0.0000
Pd 0.8060 0.2850 0.9128
Pd 0.2525 0.4596 0.6532
Pd 0.8383 0.8739 0.5187
Au 0.0000 0.0000 0.0000

=====

The following is a PBE calculation of a geometry-optimized RbSb2Se structure, from Alexandria.

**Fermi-level density of states**: 0.48 states/eV/f.u.
**Final energy**: -28.87 eV/cell
**Formation energy (no corrections)**: -1.738 eV per formula unit
**Magnetic moment**: 0.0 μB/f.u.

Cell: 4.5017 6.7514 9.8523 Å, 77.92 80.73 87.47°
Fractional coordinates of all 8 atoms:
Rb 0.8745 0.2153 0.6125
Rb 0.1255 0.7847 0.3875
Sb 0.7335 0.8755 0.0648
Sb 0.2417 0.4180 0.1129
Sb 0.7583 0.5820 0.8871
Sb 0.2665 0.1245 0.9352
Se 0.4862 0.2556 0.3304
Se 0.5138 0.7444 0.6696

=====

The following is a PBE calculation of a geometry-optimized NdBiO3 structure, from Alexandria.

**Fermi-level density of states**: 2.26 states/eV/f.u.
**Final energy**: -30.85 eV/cell
**Formation energy (no corrections)**: -7.328 eV per formula unit
**Magnetic moment**: 0.0 μB/f.u.

Cell: 4.4374 4.4374 4.4374 Å, 90.00 90.00 90.00°
Fractional coordinates of all 5 atoms:
Nd 0.5000 0.5000 0.5000
Bi 0.0000 0.0000 0.0000
O 0.0000 0.0000 0.5000
O 0.5000 0.0000 0.0000
O 0.0000 0.5000 0.0000

=====

The following is a PBE calculation of a geometry-optimized KBa2CaGe structure, from Alexandria.

**Fermi-level density of states**: 3.74 states/eV/f.u.
**Calculated formation energy**: -0.9 eV/f.u.
**Final energy**: -12.45 eV/cell
**Magnetic moment**: 0.3 μB/f.u.

Cell: 6.6832 6.6832 5.9354 Å, 90.00 90.00 90.00°
Fractional coordinates of all 5 atoms:
Ba 0.5000 0.0000 0.0000
Ba 0.0000 0.5000 0.0000
Ca 0.0000 0.0000 0.5000
Ge 0.0000 0.0000 0.0000
K 0.5000 0.5000 0.5000